1.
# PmAs2RhO8

PmAs2RhO8 after structural relaxation (PBE, the Alexandria database).

Lattice parameters (Å, degrees): 5.442 5.442 6.817 90.00 90.00 120.00
Sites, in units of the cell vectors:
Pm (0.000, 0.000, 0.000)
As (0.333, 0.667, 0.230)
As (0.667, 0.333, 0.770)
Rh (0.000, 0.000, 0.500)
O (0.156, 0.312, 0.292)
O (0.156, 0.844, 0.292)
O (0.312, 0.156, 0.708)
O (0.333, 0.667, 0.982)
O (0.667, 0.333, 0.018)
O (0.688, 0.844, 0.292)
O (0.844, 0.156, 0.708)
O (0.844, 0.688, 0.708)

Summary:
Volume   14.57 Å³ per atom
ΔE_f (raw)   -1480 meV per atom
Magnetization   0.0 Bohr magnetons per cell
SG   P-3m1 (164)

---

2.
# Ti4HgAu

Ti4HgAu after structural relaxation (PBE, the Alexandria database).

Lattice parameters (Å, degrees): 3.104 3.104 11.112 90.00 90.00 90.00
Sites, in units of the cell vectors:
Ti (0.000, 0.000, 0.164)
Ti (0.000, 0.000, 0.836)
Ti (0.500, 0.500, 0.323)
Ti (0.500, 0.500, 0.677)
Hg (0.000, 0.000, 0.500)
Au (0.500, 0.500, 0.000)

Summary:
Energy of formation from the pure elements   -0.195 eV/atom
Volume   17.85 Å³ per atom
Magnetization   0.0 Bohr magnetons per cell
SG   P4/mmm (123)

---

3.
# PaFeSi2Tc2

PaFeSi2Tc2 after structural relaxation (PBE, the Alexandria database).

Lattice parameters (Å, degrees): 4.449 4.449 5.030 90.00 90.00 90.00
Sites, in units of the cell vectors:
Pa (0.000, 0.000, 0.000)
Fe (0.000, 0.000, 0.500)
Si (0.000, 0.500, 0.500)
Si (0.500, 0.000, 0.500)
Tc (0.500, 0.500, 0.239)
Tc (0.500, 0.500, 0.761)

Summary:
Volume   16.60 Å³ per atom
ΔE_f (raw)   -47 meV per atom
Magnetization   0.6 Bohr magnetons per cell
SG   P4/mmm (123)

---

4.
# Ba2Sr2Ir

Ba2Sr2Ir after structural relaxation (PBE, the Alexandria database).

Lattice parameters (Å, degrees): 8.092 8.092 6.881 90.00 90.00 90.00
Sites, in units of the cell vectors:
Ba (0.168, 0.332, 0.000)
Ba (0.332, 0.832, 0.000)
Ba (0.668, 0.168, 0.000)
Ba (0.832, 0.668, 0.000)
Sr (0.182, 0.682, 0.500)
Sr (0.318, 0.182, 0.500)
Sr (0.682, 0.818, 0.500)
Sr (0.818, 0.318, 0.500)
Ir (0.000, 0.000, 0.000)
Ir (0.500, 0.500, 0.000)

Summary:
Energy of formation from the pure elements   0.264 eV/atom
Volume   45.06 Å³ per atom
Magnetization   0.0 Bohr magnetons per cell
Offset from the most stable computed form   0 meV/atom
SG   P4/mbm (127)

---

5.
# Er6AgSb2

Er6AgSb2 after structural relaxation (PBE, the Alexandria database).

Lattice parameters (Å, degrees): 6.340 8.021 11.751 90.00 121.93 90.00
Sites, in units of the cell vectors:
Er (0.084, 0.035, 0.232)
Er (0.084, 0.465, 0.732)
Er (0.165, 0.702, 0.049)
Er (0.165, 0.798, 0.549)
Er (0.412, 0.161, 0.046)
Er (0.412, 0.339, 0.546)
Er (0.588, 0.661, 0.454)
Er (0.588, 0.839, 0.954)
Er (0.835, 0.202, 0.451)
Er (0.835, 0.298, 0.951)
Er (0.916, 0.535, 0.268)
Er (0.916, 0.965, 0.768)
Ag (0.500, 0.000, 0.500)
Ag (0.500, 0.500, 0.000)
Sb (0.342, 0.118, 0.741)
Sb (0.342, 0.382, 0.241)
Sb (0.658, 0.618, 0.759)
Sb (0.658, 0.882, 0.259)

Summary:
Volume   28.18 Å³ per atom
ΔE_f (raw)   -471 meV per atom
Magnetization   0.0 Bohr magnetons per cell
SG   P2_1/c (14)

---

6.
# Sc2TaCrAu

Sc2TaCrAu after structural relaxation (PBE, the Alexandria database).

Lattice parameters (Å, degrees): 5.171 5.171 4.349 90.00 90.00 90.00
Sites, in units of the cell vectors:
Sc (0.000, 0.500, 0.000)
Sc (0.500, 0.000, 0.000)
Ta (0.000, 0.000, 0.000)
Cr (0.000, 0.000, 0.500)
Au (0.500, 0.500, 0.500)

Summary:
Energy of formation from the pure elements   0.960 eV/atom
Volume   23.26 Å³ per atom
Magnetization   0.0 Bohr magnetons per cell
SG   P4/mmm (123)

---

7.
# TaMnCo2

TaMnCo2 after structural relaxation (PBE, the Alexandria database).

Lattice parameters (Å, degrees): 4.431 4.431 4.521 100.40 100.40 34.97
Sites, in units of the cell vectors:
Ta (0.000, 0.000, 0.000)
Mn (0.760, 0.760, 0.317)
Co (0.243, 0.243, 0.750)
Co (0.498, 0.498, 0.494)

Summary:
Energy of formation from the pure elements   0.060 eV/atom
Volume   12.49 Å³ per atom
Magnetization   0.0 Bohr magnetons per cell
Offset from the most stable computed form   209 meV/atom
SG   Cm (8)

---

8.
# HfPtN2F

HfPtN2F after structural relaxation (PBE, the Alexandria database).

Lattice parameters (Å, degrees): 4.241 4.241 3.932 90.00 90.00 90.00
Sites, in units of the cell vectors:
Hf (0.000, 0.000, 0.000)
Pt (0.500, 0.500, 0.500)
N (0.000, 0.500, 0.000)
N (0.500, 0.000, 0.000)
F (0.000, 0.000, 0.500)

Summary:
Volume   14.15 Å³ per atom
ΔE_f (raw)   -148 meV per atom
Magnetization   0.0 Bohr magnetons per cell
Offset from the most stable computed form   0 meV/atom
SG   P4/mmm (123)

---

9.
# Mn2VOs2

Mn2VOs2 after structural relaxation (PBE, the Alexandria database).

Lattice parameters (Å, degrees): 7.071 7.071 2.659 90.00 90.00 90.00
Sites, in units of the cell vectors:
Mn (0.120, 0.380, 0.000)
Mn (0.380, 0.880, 0.000)
Mn (0.620, 0.120, 0.000)
Mn (0.880, 0.620, 0.000)
V (0.000, 0.000, 0.000)
V (0.500, 0.500, 0.000)
Os (0.174, 0.674, 0.500)
Os (0.326, 0.174, 0.500)
Os (0.674, 0.826, 0.500)
Os (0.826, 0.326, 0.500)

Summary:
Energy of formation from the pure elements   0.104 eV/atom
Volume   13.29 Å³ per atom
Magnetization   0.0 Bohr magnetons per cell
Offset from the most stable computed form   0 meV/atom
SG   P4/mbm (127)

---

10.
# Mg2NbF

Mg2NbF after structural relaxation (PBE, the Alexandria database).

Lattice parameters (Å, degrees): 5.800 5.800 5.800 115.12 115.12 98.68
Sites, in units of the cell vectors:
Mg (0.009, 0.625, 0.884)
Mg (0.375, 0.259, 0.384)
Mg (0.741, 0.125, 0.116)
Mg (0.875, 0.991, 0.616)
Nb (0.250, 0.750, 0.500)
Nb (0.500, 0.500, 0.000)
F (0.000, 0.000, 0.000)
F (0.750, 0.250, 0.500)

Summary:
Volume   18.29 Å³ per atom
ΔE_f (raw)   -474 meV per atom
Magnetization   0.0 Bohr magnetons per cell
Offset from the most stable computed form   0 meV/atom
SG   I-42d (122)

---

11.
# TaAlZn2

TaAlZn2 after structural relaxation (PBE, the Alexandria database).

Lattice parameters (Å, degrees): 2.793 2.793 8.263 90.00 90.00 90.00
Sites, in units of the cell vectors:
Ta (0.000, 0.000, 0.000)
Al (0.000, 0.000, 0.500)
Zn (0.500, 0.500, 0.254)
Zn (0.500, 0.500, 0.746)

Summary:
Energy of formation from the pure elements   0.075 eV/atom
Volume   16.11 Å³ per atom
Magnetization   0.0 Bohr magnetons per cell
SG   P4/mmm (123)

---

12.
# BaHg2Cl7

BaHg2Cl7 after structural relaxation (PBE, the Alexandria database).

Lattice parameters (Å, degrees): 7.987 7.987 5.107 90.00 90.00 99.36
Sites, in units of the cell vectors:
Ba (0.000, 0.000, 0.000)
Hg (0.291, 0.709, 0.500)
Hg (0.709, 0.291, 0.500)
Cl (0.041, 0.293, 0.500)
Cl (0.273, 0.727, 0.000)
Cl (0.293, 0.041, 0.500)
Cl (0.500, 0.500, 0.500)
Cl (0.707, 0.959, 0.500)
Cl (0.727, 0.273, 0.000)
Cl (0.959, 0.707, 0.500)

Summary:
Volume   32.14 Å³ per atom
ΔE_f (raw)   -930 meV per atom
Magnetization   0.0 Bohr magnetons per cell
SG   Cmmm (65)